A relaxed BeMoBr4 crystal, computed with PBE-GGA.

Lattice parameters (Å, degrees): 6.2231 6.2231 6.2231 60.00 60.00 60.00
Closest atoms and distances in Å follow each position.
Positions (direct):
Be 0.0000 0.0000 0.0000  12 Br 3.65, 4 Mo 3.81
Mo 0.7500 0.7500 0.7500  12 Br 3.65, 4 Be 3.81
Br 0.3749 0.8754 0.3749  6 Br 3.11-3.12
Br 0.8754 0.3749 0.3749  6 Br 3.11-3.12
Br 0.3749 0.3749 0.8754  6 Br 3.11-3.12
Br 0.3749 0.3749 0.3749  6 Br 3.11-3.12

Calculated values
SG: F-43m, No. 216
E: -0.0774 Ha/atom
M_tot: 3.25 Bohr magnetons per cell
Crystal system: cubic
Uncorrected formation energy: 1.437 eV/atom

A relaxed Be2MoBr crystal, computed with PBE-GGA.

Lattice parameters (Å, degrees): 7.6103 7.6103 7.6103 22.92 22.92 22.92
Closest atoms and distances in Å follow each position.
Positions (direct):
Be 0.0003 0.0003 0.0003  3 Mo 2.54, 3 Br 2.55
Be 0.4997 0.4997 0.4997  3 Mo 2.54, 3 Br 2.55
Mo 0.7500 0.7500 0.7500  6 Be 2.54
Br 0.2500 0.2500 0.2500  6 Be 2.55

Calculated values
Polymorph energy (0 for the lowest one): 317 meV/atom
SG: R-3m, No. 166
E: -0.1625 Ha/atom
M_tot: 0.00 Bohr magnetons per cell
Crystal system: trigonal
Uncorrected formation energy: 0.566 eV/atom

A relaxed Be2MoBr crystal, computed with PBE-GGA.

Lattice parameters (Å, degrees): 3.1159 3.1159 5.7903 90.00 90.00 90.00
Closest atoms and distances in Å follow each position.
Positions (direct):
Be 0.0000 0.0000 0.0116  4 Be 2.46, 4 Mo 2.48, 1 Br 2.67
Be 0.5000 0.5000 0.2016  1 Mo 2.24, 4 Be 2.46
Mo 0.5000 0.5000 0.8139  5 Be 2.24-2.48
Br 0.0000 0.0000 0.4729  5 Be 2.67-2.71, 4 Mo 2.96

Calculated values
Polymorph energy (0 for the lowest one): 373 meV/atom
SG: P4mm, No. 99
E: -0.1605 Ha/atom
M_tot: 0.24 Bohr magnetons per cell
Crystal system: tetragonal
Uncorrected formation energy: 0.622 eV/atom